Here is a geometry-optimized Er5Co2Pt structure from Alexandria via LeMat-Bulk. Energies are from PBE-GGA.

Properties
Formation energy from the elements ... -528 meV per atom

Cell lengths 7.0987, 7.0987, 8.6405 Å; angles 114.25, 114.25, 90.00 degrees
Last column: nearest neighbours and their distance in Å.
Positions (direct):
Er: 0.0000 0.0000 0.0000  4 Co 2.86
Er: 0.5358 0.6836 0.7193  3 Co 2.88-2.89, 2 Pt 3.04
Er: 0.5000 0.5000 0.0000  4 Co 2.86
Er: 0.4642 0.3164 0.2807  3 Co 2.88-2.89, 2 Pt 3.04
Er: 0.6836 0.1836 0.7193  3 Co 2.88-2.89, 2 Pt 3.04
Er: 0.0358 0.5358 0.7193  3 Co 2.88-2.89, 2 Pt 3.04
Co: 0.3865 0.8865 0.0000  1 Co 2.28
Er: 0.9642 0.4642 0.2807  3 Co 2.88-2.89, 2 Pt 3.04
Co: 0.6135 0.1135 0.0000  1 Co 2.28
Er: 0.8164 0.9642 0.2807  3 Co 2.88-2.89, 2 Pt 3.04
Pt: 0.7500 0.7500 0.5000  8 Er 3.04
Er: 0.3164 0.8164 0.2807  3 Co 2.88-2.89, 2 Pt 3.04
Er: 0.1836 0.0358 0.7193  3 Co 2.88-2.89, 2 Pt 3.04
Co: 0.8865 0.6135 0.0000  1 Co 2.28
Co: 0.1135 0.3865 0.0000  1 Co 2.28
Pt: 0.2500 0.2500 0.5000  8 Er 3.04